[1]
Material: Sm2HoTa2Rh5
Method: DFT, PBE
State: optimized geometry

## Properties
Space-group type: P4/mbm
Formation energy from the elements (eV/atom): -0.490
Crystal system: tetragonal
Final energy (eV/cell): -158.75

a b c (Å): 3.7734 10.3071 10.3071
angles (deg): 90.00 90.00 90.00
Last column: nearest neighbours and their distance in Å.
Atoms (fractional coordinates):
Sm 0.0000 0.6773 0.1773  3 Ta 2.95-3.12, 6 Rh 3.20-3.29
Sm 0.0000 0.3227 0.8227  3 Ta 2.95-3.12, 6 Rh 3.20-3.29
Sm 0.0000 0.1773 0.3227  3 Ta 2.95-3.12, 6 Rh 3.20-3.29
Sm 0.0000 0.8227 0.6773  3 Ta 2.95-3.12, 6 Rh 3.20-3.29
Ho 0.0000 0.0000 0.0000  8 Rh 2.99
Ho 0.0000 0.5000 0.5000  8 Rh 2.99
Ta 0.0000 0.1205 0.6205  6 Rh 2.58-2.60
Ta 0.0000 0.8795 0.3795  6 Rh 2.58-2.60
Ta 0.0000 0.6205 0.8795  6 Rh 2.58-2.60
Ta 0.0000 0.3795 0.1205  6 Rh 2.58-2.60
Rh 0.5000 0.2155 0.0640  2 Ta 2.60
Rh 0.5000 0.7845 0.9360  2 Ta 2.60
Rh 0.5000 0.0640 0.7845  2 Ta 2.60
Rh 0.5000 0.7155 0.4360  2 Ta 2.60
Rh 0.5000 0.9360 0.2155  2 Ta 2.60
Rh 0.5000 0.2845 0.5640  2 Ta 2.60
Rh 0.5000 0.5640 0.7155  2 Ta 2.60
Rh 0.5000 0.4360 0.2845  2 Ta 2.60
Rh 0.5000 0.5000 0.0000  4 Ta 2.58
Rh 0.5000 0.0000 0.5000  4 Ta 2.58

[2]
Material: Ho2SnRh
Method: DFT, PBE
State: optimized geometry

## Properties
Space-group type: R-3m
Formation energy from the elements (eV/atom): -0.611
Crystal system: trigonal
Final energy (eV/cell): -22.95

a b c (Å): 3.7529 3.7529 8.6794
angles (deg): 77.51 77.51 60.00
Last column: nearest neighbours and their distance in Å.
Atoms (fractional coordinates):
Rh 0.0000 0.0000 0.0000  6 Ho 2.76
Ho 0.7342 0.7342 0.7974  3 Rh 2.76
Ho 0.2658 0.2658 0.2026  3 Rh 2.76
Sn 0.5000 0.5000 0.5000  6 Ho 3.31

[3]
Material: Ho2Sn5Rh3
Method: DFT, PBE
State: optimized geometry

## Properties
Space-group type: Cmc2_1
Formation energy from the elements (eV/atom): -0.704
Crystal system: orthorhombic
Final energy (eV/cell): -116.52

a b c (Å): 13.4108 13.4108 7.2062
angles (deg): 90.00 90.00 160.88
Last column: nearest neighbours and their distance in Å.
Atoms (fractional coordinates):
Ho 0.1717 0.8283 0.7425  8 Sn 3.16-3.53, 2 Rh 3.26
Ho 0.8283 0.1717 0.2425  8 Sn 3.16-3.53, 2 Rh 3.26
Ho 0.4760 0.5240 0.7624  3 Rh 2.83-3.07, 2 Sn 3.15
Ho 0.5240 0.4760 0.2624  3 Rh 2.83-3.07, 2 Sn 3.15
Sn 0.8801 0.1199 0.7659  4 Rh 2.72-2.89
Sn 0.1199 0.8801 0.2659  4 Rh 2.72-2.89
Sn 0.7056 0.2944 0.4518  4 Rh 2.68-2.79
Sn 0.2944 0.7056 0.9518  4 Rh 2.68-2.79
Sn 0.5969 0.4031 0.8902  3 Rh 2.64-2.71
Sn 0.4031 0.5969 0.3902  3 Rh 2.64-2.71
Sn 0.9523 0.0477 0.1002  4 Rh 2.71-2.77
Sn 0.0477 0.9523 0.6002  4 Rh 2.71-2.77
Sn 0.2909 0.7091 0.5226  3 Rh 2.73-2.75
Sn 0.7091 0.2909 0.0226  3 Rh 2.73-2.75
Rh 0.0497 0.9503 0.9843  5 Sn 2.64-2.77
Rh 0.9503 0.0497 0.4843  5 Sn 2.64-2.77
Rh 0.7775 0.2225 0.7360  7 Sn 2.72-2.79
Rh 0.2225 0.7775 0.2360  7 Sn 2.72-2.79
Rh 0.3941 0.6059 0.0160  6 Sn 2.68-2.89, 1 Ho 2.83
Rh 0.6059 0.3941 0.5160  6 Sn 2.68-2.89, 1 Ho 2.83